Record 1
ReSi2Ir | PBE-GGA | optimized geometry

The structure belongs to space group C2/m (No. 12); the cell edges are 8.045, 2.782 and 5.022 Å and the angles 90.00°, 101.87° and 90.00°. Symmetry generates all atoms from Re at (0.000, 0.000, 0.000), Si at (0.249, 0.000, 0.752) and Ir at (0.000, 0.500, 0.500).

The energy relative to the lowest polymorph listed for this composition is 0.164 eV per atom. Its uncorrected formation energy is -0.9 eV per formula unit.



Record 2
MnAlTe2N | PBE-GGA | optimized geometry

The structure belongs to space group P4/mmm (No. 123); the cell edges are 5.376, 5.376 and 3.474 Å and the angles 90.00°, 90.00° and 90.00°. Symmetry generates all atoms from Mn at (0.000, 0.000, 0.000), Al at (0.500, 0.500, 0.500), Te at (0.000, 0.500, 0.000) and N at (0.000, 0.000, 0.500).

The energy relative to the lowest polymorph listed for this composition is 0.000 eV per atom. Its uncorrected formation energy is 0.9 eV per formula unit.



Record 3
CeSm5Tl8 | PBE-GGA | optimized geometry

The structure belongs to space group I-4 (No. 82); the cell edges are 9.425, 9.425 and 9.499 Å and the angles 90.00°, 90.00° and 90.00°. Symmetry generates all atoms from Ce at (0.000, 0.000, 0.000), Sm at (0.000, 0.500, 0.750), Sm at (0.128, 0.751, 0.373), Tl at (0.081, 0.664, 0.043) and Tl at (0.085, 0.833, 0.704).

Its formation energy from the elements is -0.261 eV/atom.



Record 4
Ti2HgAsI | PBE-GGA | optimized geometry

The structure belongs to space group P4/mmm (No. 123); the cell edges are 5.245, 5.245 and 5.501 Å and the angles 90.00°, 90.00° and 90.00°. Symmetry generates all atoms from Ti at (0.000, 0.500, 0.000), Hg at (0.000, 0.000, 0.000), As at (0.500, 0.500, 0.500) and I at (0.000, 0.000, 0.500).

Its uncorrected formation energy is 6.5 eV per formula unit.



Record 5
LiCl2 | PBE-GGA | optimized geometry

The structure belongs to space group P-3m1 (No. 164); the cell edges are 3.8761, 3.8761 and 4.8639 Å and the angles 90.00°, 90.00° and 120.00°. Symmetry generates all atoms from Li at (0.0000, 0.0000, 0.0000) and Cl at (0.3333, 0.6667, 0.2469).

The energy relative to the lowest polymorph listed for this composition is 0.316 eV per atom. Its uncorrected formation energy is -2.6 eV per formula unit.



Record 6
MgTaZn2O6 | PBE-GGA | optimized geometry

The structure belongs to space group C2/c (No. 15); the cell edges are 9.958, 9.157 and 5.377 Å and the angles 90.00°, 98.92° and 90.00°. Symmetry generates all atoms from Mg at (0.000, 0.084, 0.250), Ta at (0.000, 0.270, 0.750), Zn at (0.196, 0.405, 0.313), O at (0.101, 0.254, 0.101), O at (0.106, 0.094, 0.630) and O at (0.129, 0.408, 0.643).

Its uncorrected formation energy is -20.3 eV per formula unit.



Record 7
CaMn2Fe | PBE-GGA | optimized geometry

The structure belongs to space group I-42d (No. 122); the cell edges are 7.146, 7.146 and 5.621 Å and the angles 90.00°, 90.00° and 90.00°. Symmetry generates all atoms from Ca at (0.000, 0.000, 0.000), Mn at (0.172, 0.250, 0.625) and Fe at (0.000, 0.000, 0.500).

The energy relative to the lowest polymorph listed for this composition is 0.402 eV per atom. Its formation energy from the elements is 0.746 eV/atom.



Record 8
Sc3AgRu | PBE-GGA | optimized geometry

The structure belongs to space group Pm-3m (No. 221); the cell edges are 4.970, 4.970 and 4.970 Å and the angles 90.00°, 90.00° and 90.00°. Symmetry generates all atoms from Sc at (0.000, 0.000, 0.500), Ag at (0.500, 0.500, 0.500) and Ru at (0.000, 0.000, 0.000).

The energy relative to the lowest polymorph listed for this composition is 0.000 eV per atom. Its formation energy from the elements is -0.042 eV/atom.



Record 9
LaHo2Pd9 | PBE-GGA | optimized geometry

The structure belongs to space group P4/mmm (No. 123); the cell edges are 4.165, 4.165 and 12.393 Å and the angles 90.00°, 90.00° and 90.00°. Symmetry generates all atoms from La at (0.000, 0.000, 0.000), Ho at (0.000, 0.000, 0.338), Pd at (0.000, 0.500, 0.173), Pd at (0.000, 0.500, 0.500), Pd at (0.500, 0.500, 0.000) and Pd at (0.500, 0.500, 0.335).

Its formation energy from the elements is -0.854 eV/atom.



Record 10
Tb2BeAl4Pt3 | PBE-GGA | optimized geometry

The structure belongs to space group P-4m2 (No. 115); the cell edges are 4.139, 4.139 and 10.634 Å and the angles 90.00°, 90.00° and 90.00°. Symmetry generates all atoms from Tb at (0.000, 0.500, 0.244), Be at (0.500, 0.500, 0.000), Al at (0.000, 0.000, 0.500), Al at (0.000, 0.500, 0.874), Al at (0.500, 0.500, 0.500), Pt at (0.000, 0.000, 0.000) and Pt at (0.000, 0.500, 0.638).

Its formation energy from the elements is -0.927 eV/atom.



Record 11
ErMnTl2Te4 | PBE-GGA | optimized geometry

The structure belongs to space group P2/m (No. 10); the cell edges are 7.511, 4.283 and 8.338 Å and the angles 90.00°, 107.39° and 90.00°. Symmetry generates all atoms from Er at (0.000, 0.000, 0.000), Mn at (0.500, 0.500, 0.000), Tl at (0.000, 0.500, 0.500), Tl at (0.500, 0.000, 0.500), Te at (0.249, 0.500, 0.211) and Te at (0.286, 0.000, 0.804).

Its uncorrected formation energy is -4.7 eV per formula unit.



Record 12
CsMn2BeCu | PBE-GGA | optimized geometry

The structure belongs to space group P4/mmm (No. 123); the cell edges are 4.889, 4.889 and 6.175 Å and the angles 90.00°, 90.00° and 90.00°. Symmetry generates all atoms from Cs at (0.000, 0.000, 0.000), Mn at (0.000, 0.500, 0.500), Be at (0.500, 0.500, 0.000) and Cu at (0.000, 0.000, 0.500).

Its formation energy from the elements is 1.426 eV/atom.



no.,magnetic moment (μB per atom)
1,0.000
2,0.232
3,0.087
4,0.478
5,0.341
6,0.102
7,1.115
8,0.000
9,0.000
10,0.000
11,0.525
12,1.773